A plane-wave DFT calculation with PBE was carried out for an optimized crystal structure of Mn2AsBr.

Cell: 8.3456 8.3456 8.3456 Å, 24.87 24.87 24.87°
Site moments in Bohr magnetons follow the coordinates.
Fractional positions:
Br 0.7245 0.7245 0.7245  0.07
Mn 0.2471 0.2471 0.2471  2.65
As 0.5367 0.5367 0.5367  -0.11
Mn 0.9917 0.9917 0.9917  3.97

Properties
Final energy ... -6.071 eV/atom
Formation energy (no corrections) ... 0.094 eV/atom
Offset from the most stable computed form ... 169 meV per atom



A plane-wave DFT calculation with PBE was carried out for an optimized crystal structure of RbBI4.

Cell: 9.7478 9.6229 11.7051 Å, 90.00 90.00 90.38°
Fractional positions:
I 0.6573 0.8257 0.6186
I 0.4590 0.3823 0.1312
I 0.6843 0.3398 0.3833
Rb 0.5006 0.2940 0.6774
I 0.3427 0.1743 0.3814
Rb 0.9994 0.2060 0.1774
I 0.9590 0.8823 0.3688
I 0.8427 0.6743 0.1186
I 0.6164 0.0458 0.1879
B 0.9764 0.2645 0.7706
I 0.0410 0.1177 0.6312
I 0.8157 0.1602 0.8833
B 0.0236 0.7355 0.2294
I 0.3836 0.9542 0.8121
I 0.1164 0.5458 0.3121
I 0.3157 0.6602 0.6167
B 0.4764 0.7645 0.7294
Rb 0.0006 0.7940 0.8226
B 0.5236 0.2355 0.2706
Rb 0.4994 0.7060 0.3226
I 0.1573 0.3257 0.8814
I 0.1843 0.8398 0.1167
I 0.5410 0.6177 0.8688
I 0.8836 0.4542 0.6879

Properties
Final energy ... -2.846 eV/atom
Formation energy (no corrections) ... -0.538 eV/atom



A plane-wave DFT calculation with PBE was carried out for an optimized crystal structure of CsSr2As2O6.

Cell: 6.1996 7.6096 6.1309 Å, 107.59 100.96 66.39°
Site moments in Bohr magnetons follow the coordinates.
Fractional positions:
Sr 0.7112 0.4993 0.7972  0.00
O 0.9908 0.3551 0.1357  0.05
O 0.3041 0.7014 0.6043  0.10
O 0.6959 0.2986 0.3957  0.10
As 0.8462 0.1988 0.1406  0.10
As 0.1538 0.8012 0.8594  0.10
O 0.0092 0.6449 0.8643  0.05
Cs 0.5000 0.0000 0.5000  0.00
Sr 0.2888 0.5007 0.2028  0.00
O 0.6051 0.2613 0.9345  0.04
O 0.3949 0.7387 0.0655  0.04

Properties
Final energy ... -5.924 eV/atom
Formation energy (no corrections) ... -1.991 eV/atom



A plane-wave DFT calculation with PBE was carried out for an optimized crystal structure of LiRe2Br.

Cell: 2.7160 2.7160 8.7977 Å, 90.00 90.00 90.00°
Fractional positions:
Li 0.5000 0.5000 0.7500
Re 0.0000 0.0000 0.5067
Re 0.0000 0.0000 0.9933
Br 0.5000 0.5000 0.2500

Properties
Final energy ... -5.778 eV/atom
Formation energy (no corrections) ... 1.343 eV/atom
Offset from the most stable computed form ... 1186 meV per atom



A plane-wave DFT calculation with PBE was carried out for an optimized crystal structure of La12DyTm5.

Cell: 10.8586 10.9874 6.3607 Å, 72.86 90.00 60.39°
Fractional positions:
Tm 0.3334 0.3333 0.0003
La 0.6623 0.3337 0.9998
La 0.9959 0.6664 0.9997
La 0.0041 0.3335 0.0003
La 0.3377 0.6664 0.0001
La 0.6700 0.9999 0.0002
Tm 0.1670 0.6660 0.5012
La 0.1713 0.0000 0.4998
Dy 0.0001 0.0000 0.0000
La 0.3300 0.0001 0.9998
Tm 0.6666 0.6667 0.9997
La 0.5042 0.3333 0.5000
La 0.4957 0.6667 0.4999
Tm 0.4999 0.0000 0.5000
La 0.8375 0.6668 0.4996
Tm 0.8330 0.3340 0.4988
La 0.8288 0.0000 0.5002
La 0.1625 0.3332 0.5004

Properties
Final energy ... -4.763 eV/atom
ΔE_f ... 0.020 eV per atom



A plane-wave DFT calculation with PBE was carried out for an optimized crystal structure of Ag3ICl3.

Cell: 7.2357 7.2357 9.7698 Å, 68.27 68.27 60.00°
Fractional positions:
Ag 0.2774 0.5733 0.2186
I 0.3323 0.3323 0.0031
Ag 0.7226 0.4267 0.7814
Ag 0.0693 0.7226 0.7814
Cl 0.1115 0.4067 0.6794
Cl 0.5933 0.1977 0.3206
I 0.6677 0.6677 0.9969
Cl 0.8023 0.1115 0.6794
Cl 0.4067 0.8023 0.6794
Cl 0.1977 0.8885 0.3206
Ag 0.9307 0.2774 0.2186
Ag 0.4267 0.0693 0.7814
Cl 0.8885 0.5933 0.3206
Ag 0.5733 0.9307 0.2186

Properties
Final energy ... -2.551 eV/atom
Formation energy (no corrections) ... -0.317 eV/atom
Offset from the most stable computed form ... 25 meV per atom



A plane-wave DFT calculation with PBE was carried out for an optimized crystal structure of ZrAs.

Cell: 3.3694 3.3694 3.3694 Å, 90.00 90.00 90.00°
Fractional positions:
As 0.0000 0.0000 0.0000
Zr 0.5000 0.5000 0.5000

Properties
Final energy ... -7.419 eV/atom
ΔE_f ... -0.820 eV per atom



A plane-wave DFT calculation with PBE was carried out for an optimized crystal structure of DyTmScPt.

Cell: 5.0626 5.0626 5.0626 Å, 60.00 60.00 60.00°
Site moments in Bohr magnetons follow the coordinates.
Fractional positions:
Pt 0.2500 0.2500 0.2500  0.04
Tm 0.5000 0.5000 0.5000  0.21
Sc 0.7500 0.7500 0.7500  0.43
Dy 0.0000 0.0000 0.0000  0.19

Properties
Final energy ... -5.762 eV/atom
ΔE_f ... -0.400 eV per atom



- Which formula does entry 2 have?
  RbBI4



- Which formula does entry 3 have?
  CsSr2As2O6